(1)
# ZnIr2Pb | the Alexandria database | PBEsol | relaxed
# * E_form: 0.317 eV per atom
# * spin magnetization: 0.002 μB/cell
# * mass density: 15.55 g/cm3
# * relative energy among the computed polymorphs: 0 meV per atom
data_ZnIr2Pb
_chemical_formula_sum 'Zn1 Ir2 Pb1'
_symmetry_space_group_name_H-M 'P 1'
_symmetry_Int_Tables_number 1
_cell_length_a 2.9233
_cell_length_b 2.9233
_cell_length_c 8.2127
_cell_angle_alpha 90.00
_cell_angle_beta 90.00
_cell_angle_gamma 90.00
loop_
_symmetry_equiv_pos_as_xyz
'x,y,z'
loop_
_atom_site_label
_atom_site_fract_x
_atom_site_fract_y
_atom_site_fract_z
Zn1 0.0000 0.0000 0.0000
Ir1 0.0000 0.0000 0.4014
Ir2 0.5000 0.5000 0.1908
Pb1 0.5000 0.5000 0.6622

(2)
# NbZn2SeS | the Alexandria database | PBEsol | relaxed
# * spin magnetization: 3.397 μB/cell
# * mass density: 5.20 g/cm3
# * formation energy (no corrections): 96.7 kJ per mole of atoms
data_NbZn2SeS
_chemical_formula_sum 'Nb1 Zn2 Se1 S1'
_symmetry_space_group_name_H-M 'P 1'
_symmetry_Int_Tables_number 1
_cell_length_a 4.6516
_cell_length_b 4.6516
_cell_length_c 4.9364
_cell_angle_alpha 90.00
_cell_angle_beta 90.00
_cell_angle_gamma 90.00
loop_
_symmetry_equiv_pos_as_xyz
'x,y,z'
loop_
_atom_site_label
_atom_site_fract_x
_atom_site_fract_y
_atom_site_fract_z
Nb1 0.0000 0.0000 0.0000
Zn1 0.0000 0.5000 0.5000
Zn2 0.5000 0.0000 0.5000
Se1 0.5000 0.5000 0.5000
S1 0.5000 0.5000 0.0000